(1)
The following is a DFT calculation (PBE) of a geometry-optimized VCu5Pd8 structure.

Calculated values
The value obtained for the calculated formation energy is -0.005 eV per atom. The raw total energy comes out at -5.0862 eV/atom.

Unit cell a=7.3342 b=7.3342 c=7.7386 alpha=90.00 beta=90.00 gamma=90.00
Space group I-4 (No. 82)
Unique sites:
V  0.0000  0.0000  0.0000 [2 per cell]
Cu  0.0000  0.5000  0.7500 [2 per cell]
Cu  0.1136  0.2059  0.4215 [8 per cell]
Pd  0.0689  0.3250  0.0910 [8 per cell]
Pd  0.0900  0.1778  0.7519 [8 per cell]


(2)
The following is a DFT calculation (PBE) of a geometry-optimized SrLiPu2N4 structure.

Calculated values
The raw total energy comes out at -9.2332 eV/atom. The energy relative to the elements, uncorrected comes out at -1.0381 eV/atom.

Unit cell a=3.5282 b=11.3911 c=11.2771 alpha=90.00 beta=90.00 gamma=90.00
Space group Cmcm (No. 63)
Unique sites:
Sr  0.0000  0.1000  0.2500 [4 per cell]
Li  0.0000  0.1694  0.7500 [4 per cell]
Pu  0.0000  0.3684  0.0590 [8 per cell]
N  0.0000  0.0000  0.0000 [4 per cell]
N  0.0000  0.2559  0.5995 [8 per cell]
N  0.0000  0.4241  0.2500 [4 per cell]


(3)
The following is a DFT calculation (PBE) of a geometry-optimized CsLi3Co structure.

Calculated values
The value obtained for the calculated formation energy is 1.415 eV per atom. Its energy relative to the lowest polymorph listed for this composition is 75.66 kJ per mole of atoms. The raw total energy comes out at -1.3253 eV/atom.

Unit cell a=5.2039 b=5.2039 c=5.2039 alpha=90.00 beta=90.00 gamma=90.00
Space group Pm-3m (No. 221)
Unique sites:
Cs  0.0000  0.0000  0.0000 [1 per cell]
Li  0.0000  0.0000  0.5000 [3 per cell]
Co  0.5000  0.5000  0.5000 [1 per cell]


(4)
The following is a DFT calculation (PBE) of a geometry-optimized YTl2GaTe4 structure.

Calculated values
The raw total energy comes out at -3.9288 eV/atom. The energy relative to the elements, uncorrected comes out at -0.5801 eV/atom.

Unit cell a=8.9407 b=9.0070 c=13.0174 alpha=90.00 beta=90.00 gamma=90.00
Space group Imma (No. 74)
Unique sites:
Y  0.2500  0.2500  0.2500 [4 per cell]
Tl  0.0000  0.0000  0.0000 [4 per cell]
Tl  0.2500  0.2500  0.7500 [4 per cell]
Ga  0.0000  0.0000  0.5000 [4 per cell]
Te  0.0000  0.0182  0.2651 [8 per cell]
Te  0.2197  0.2500  0.4902 [8 per cell]